No. 1
The following is a DFT calculation (GGA-PBE) of a geometry-optimized Ca2PrAg structure.

Formation energy ... 0.112 eV/atom
Crystal system ... trigonal
Relative energy among the computed polymorphs ... 217.5 meV/atom

a = 11.803 Å, b = 11.803 Å, c = 11.803 Å
α = 18.01°, β = 18.01°, γ = 18.01°
Positions (direct):
Ca 0.103 0.103 0.103
Ca 0.897 0.897 0.897
Pr 0.000 0.000 0.000
Ag 0.500 0.500 0.500

=====

No. 2
The following is a DFT calculation (GGA-PBE) of a geometry-optimized InCoBr structure.

Formation energy from raw total energies ... 0.2970 eV/atom
Crystal system ... tetragonal

a = 6.335 Å, b = 6.335 Å, c = 6.335 Å
α = 149.83°, β = 149.83°, γ = 43.19°
Positions (direct):
In 0.000 0.000 0.000
Co 0.625 0.625 0.000
Br 0.260 0.260 0.000

=====

No. 3
The following is a DFT calculation (GGA-PBE) of a geometry-optimized KSr2Rh structure.

Formation energy ... 0.294 eV/atom
Crystal system ... tetragonal
Relative energy among the computed polymorphs ... 368.9 meV/atom

a = 5.378 Å, b = 5.378 Å, c = 4.599 Å
α = 90.00°, β = 90.00°, γ = 90.00°
Positions (direct):
K 0.000 0.000 0.000
Sr 0.000 0.500 0.500
Sr 0.500 0.000 0.500
Rh 0.500 0.500 0.000

=====

No. 4
The following is a DFT calculation (GGA-PBE) of a geometry-optimized Be2HgIr structure.

Formation energy ... 0.034 eV/atom
Crystal system ... monoclinic

a = 4.761 Å, b = 4.761 Å, c = 4.057 Å
α = 105.35°, β = 105.35°, γ = 36.35°
Positions (direct):
Be 0.000 0.000 0.000
Be 0.229 0.229 0.649
Hg 0.754 0.754 0.170
Ir 0.519 0.519 0.539

=====

No. 5
The following is a DFT calculation (GGA-PBE) of a geometry-optimized I2Br structure.

Formation energy from raw total energies ... 0.0530 eV/atom
Crystal system ... triclinic
Relative energy among the computed polymorphs ... 90.4 meV/atom

a = 4.963 Å, b = 6.137 Å, c = 6.362 Å
α = 113.63°, β = 97.33°, γ = 110.89°
Positions (direct):
I 0.249 0.249 0.251
I 0.751 0.751 0.749
Br 0.500 0.500 0.000

=====

No. 6
The following is a DFT calculation (GGA-PBE) of a geometry-optimized Ac6SbP3Se2 structure.

Formation energy from raw total energies ... -1.6105 eV/atom
Crystal system ... monoclinic

a = 10.129 Å, b = 10.129 Å, c = 9.067 Å
α = 103.71°, β = 103.71°, γ = 25.66°
Positions (direct):
Ac 0.003 0.003 0.237
Ac 0.328 0.328 0.425
Ac 0.337 0.337 0.908
Ac 0.663 0.663 0.092
Ac 0.672 0.672 0.575
Ac 0.997 0.997 0.763
Sb 0.500 0.500 0.500
P 0.167 0.167 0.331
P 0.500 0.500 0.000
P 0.833 0.833 0.669
Se 0.169 0.169 0.837
Se 0.831 0.831 0.163

=====

No. 7
The following is a DFT calculation (GGA-PBE) of a geometry-optimized Th2Al3SnAu4 structure.

Formation energy ... -0.631 eV/atom
Crystal system ... tetragonal

a = 4.400 Å, b = 4.400 Å, c = 11.002 Å
α = 90.00°, β = 90.00°, γ = 90.00°
Positions (direct):
Th 0.000 0.500 0.236
Th 0.500 0.000 0.764
Al 0.000 0.500 0.876
Al 0.500 0.000 0.124
Al 0.500 0.500 0.500
Sn 0.000 0.000 0.500
Au 0.000 0.000 0.000
Au 0.000 0.500 0.650
Au 0.500 0.000 0.350
Au 0.500 0.500 0.000

=====

No. 8
The following is a DFT calculation (GGA-PBE) of a geometry-optimized Ba3InSn3 structure.

Formation energy ... -0.623 eV/atom
Crystal system ... monoclinic

a = 6.966 Å, b = 6.966 Å, c = 16.507 Å
α = 108.19°, β = 108.19°, γ = 44.07°
Positions (direct):
Ba 0.020 0.020 0.382
Ba 0.105 0.105 0.924
Ba 0.232 0.232 0.229
Ba 0.768 0.768 0.771
Ba 0.895 0.895 0.076
Ba 0.980 0.980 0.618
In 0.279 0.279 0.606
In 0.721 0.721 0.394
Sn 0.353 0.353 0.451
Sn 0.396 0.396 0.924
Sn 0.479 0.479 0.773
Sn 0.521 0.521 0.227
Sn 0.604 0.604 0.076
Sn 0.647 0.647 0.549

=====

No. 9
The following is a DFT calculation (GGA-PBE) of a geometry-optimized BaLaY2Co structure.

Formation energy ... -0.005 eV/atom
Crystal system ... tetragonal

a = 5.591 Å, b = 5.591 Å, c = 5.416 Å
α = 90.00°, β = 90.00°, γ = 90.00°
Positions (direct):
Ba 0.000 0.000 0.000
La 0.500 0.500 0.000
Y 0.000 0.500 0.500
Y 0.500 0.000 0.500
Co 0.500 0.500 0.500

=====

No. 10
The following is a DFT calculation (GGA-PBE) of a geometry-optimized Ba2WAu structure.

Formation energy ... 0.810 eV/atom
Crystal system ... cubic
Relative energy among the computed polymorphs ... 369.9 meV/atom

a = 5.683 Å, b = 5.683 Å, c = 5.683 Å
α = 60.00°, β = 60.00°, γ = 60.00°
Positions (direct):
Ba 0.250 0.250 0.250
Ba 0.750 0.750 0.750
W 0.000 0.000 0.000
Au 0.500 0.500 0.500

=====

No. 11
The following is a DFT calculation (GGA-PBE) of a geometry-optimized Ce4TcSb structure.

Formation energy from raw total energies ... -0.3884 eV/atom
Crystal system ... monoclinic
Relative energy among the computed polymorphs ... 0.0 meV/atom

a = 5.385 Å, b = 6.680 Å, c = 8.485 Å
α = 90.00°, β = 97.13°, γ = 90.00°
Positions (direct):
Ce 0.190 0.250 0.033
Ce 0.215 0.750 0.371
Ce 0.295 0.538 0.756
Ce 0.295 0.962 0.756
Ce 0.705 0.038 0.244
Ce 0.705 0.462 0.244
Ce 0.785 0.250 0.629
Ce 0.810 0.750 0.967
Tc 0.256 0.750 0.095
Tc 0.744 0.250 0.905
Sb 0.241 0.250 0.418
Sb 0.759 0.750 0.582

=====

No. 12
The following is a DFT calculation (GGA-PBE) of a geometry-optimized SrSc3S structure.

Formation energy from raw total energies ... -0.4668 eV/atom
Crystal system ... cubic
Relative energy among the computed polymorphs ... 0.0 meV/atom

a = 5.109 Å, b = 5.109 Å, c = 5.109 Å
α = 90.00°, β = 90.00°, γ = 90.00°
Positions (direct):
Sr 0.000 0.000 0.000
Sc 0.000 0.500 0.500
Sc 0.500 0.000 0.500
Sc 0.500 0.500 0.000
S 0.500 0.500 0.500

=====

In order of appearance, total energy = -2.7963, -3.5421, -2.6596, -4.1202, -1.5380, -5.9415, -4.9488, -3.5540, -5.3821, -4.2088, -6.7591, -5.4276 eV/atom.